Record 1
Density functional theory data (GGA-PBEsol) for an optimized crystal structure of SrCd3.

* formation energy from the elements: -0.172 eV per atom
* raw total energy: -6.12 eV/cell

abc: 3.624 3.622 7.730
angles: 90.00 90.00 90.00
Sites, in units of the cell vectors:
Sr  0.000  0.000  0.000
Cd  0.000  0.000  0.500
Cd  0.500  0.500  0.709
Cd  0.500  0.500  0.291

Record 2
Density functional theory data (GGA-PBEsol) for an optimized crystal structure of MgOs2Se.

* ΔE_f (raw): 0.266 eV/atom
* energy above the lowest structure with this stoichiometry: 0.0 meV per atom
* raw total energy: -28.93 eV/cell

abc: 2.889 2.889 8.754
angles: 80.50 80.50 60.00
Sites, in units of the cell vectors:
Se  0.494  0.494  0.517
Mg  0.252  0.252  0.243
Os  0.004  0.004  0.989
Os  0.749  0.749  0.752

Record 3
Density functional theory data (GGA-PBEsol) for an optimized crystal structure of TaTl2Os.

* formation energy from the elements: 0.737 eV per atom
* energy above the lowest structure with this stoichiometry: 457.3 meV per atom
* raw total energy: -27.08 eV/cell

abc: 3.038 5.141 5.696
angles: 116.83 105.46 90.00
Sites, in units of the cell vectors:
Os  0.500  0.000  0.000
Tl  0.762  0.762  0.523
Tl  0.238  0.238  0.477
Ta  0.000  0.500  0.000

Record 4
Density functional theory data (GGA-PBEsol) for an optimized crystal structure of NbCoPCl2.

* ΔE_f (raw): 0.441 eV/atom
* raw total energy: -26.16 eV/cell

abc: 4.282 4.282 4.598
angles: 90.00 90.00 90.00
Sites, in units of the cell vectors:
Cl  0.000  0.500  0.000
Cl  0.500  0.000  0.000
P  0.000  0.000  0.500
Nb  0.500  0.500  0.500
Co  0.000  0.000  0.000

Record 5
Density functional theory data (GGA-PBEsol) for an optimized crystal structure of LiCa2Y.

* formation energy from the elements: 0.106 eV per atom
* energy above the lowest structure with this stoichiometry: 6.7 meV per atom
* raw total energy: -12.63 eV/cell

abc: 3.758 3.758 9.160
angles: 90.00 90.00 90.00
Sites, in units of the cell vectors:
Ca  0.500  0.500  0.297
Ca  0.000  0.000  0.986
Li  0.000  0.000  0.510
Y  0.500  0.500  0.707

Record 6
Density functional theory data (GGA-PBEsol) for an optimized crystal structure of KTl3.

* formation energy from the elements: -0.042 eV per atom
* raw total energy: -9.19 eV/cell

abc: 3.387 5.400 6.694
angles: 90.00 90.00 90.00
Sites, in units of the cell vectors:
Tl  0.000  0.500  0.341
Tl  0.500  0.500  0.780
Tl  0.500  0.000  0.525
K  0.000  0.000  0.020

Record 7
Density functional theory data (GGA-PBEsol) for an optimized crystal structure of H2WF.

* energy above the lowest structure with this stoichiometry: 645.8 meV per atom
* raw total energy: -20.58 eV/cell

abc: 3.454 3.454 3.454
angles: 60.00 60.00 60.00
Sites, in units of the cell vectors:
W  0.500  0.500  0.500
H  0.250  0.250  0.250
H  0.750  0.750  0.750
F  0.000  0.000  0.000

Record 8
Density functional theory data (GGA-PBEsol) for an optimized crystal structure of SrLi4Ag.

* formation energy from the elements: 0.007 eV per atom
* raw total energy: -12.98 eV/cell

abc: 5.689 5.689 5.689
angles: 60.00 60.00 60.00
Sites, in units of the cell vectors:
Li  0.372  0.883  0.372
Li  0.372  0.372  0.883
Li  0.883  0.372  0.372
Li  0.372  0.372  0.372
Ag  0.000  0.000  0.000
Sr  0.750  0.750  0.750

- The highest raw total energy belongs to which entry?
  SrCd3

- Number 3 is which compound?
  TaTl2Os

- The highest raw total energy belongs to which entry?
  SrCd3

- Which of these has the lowest raw total energy?
  MgOs2Se